PmLu2Sb PBE optimized geometry; space-group type = P4/mmm, No. 123; energy = -4.911 eV/atom; uncorrected formation energy = -0.432 eV/atom; DOS at the Fermi energy = 4.0 states/eV/cell
1.0
3.915 0.000 0.000
0.000 3.915 0.000
0.000 0.000 7.398
Lu Sb Pm
2 1 1
Direct
0.000 0.000 0.281
0.000 0.000 0.719
0.500 0.500 0.500
0.500 0.500 0.000